Record 1
Below is a relaxed structure of Fe3CuBi, with properties calculated at the PBE-GGA level.

Structure (POSCAR):
```
Fe3CuBi
1.0
-0.987 0.224 -4.349
0.908 -4.351 -0.430
-4.259 -0.979 0.916
Fe Bi Cu
3 1 1
direct
0.500 0.000 0.000
0.000 0.500 0.000
0.000 0.000 0.500
0.500 0.500 0.500
0.000 0.000 0.000
```

Output
The calculation puts the electronic total energy at -28.8 eV per formula unit. The value obtained for the formation energy from the elements is 0.9112 eV per atom. For the total moment, the calculation gives 8.89 μB per formula unit. Its symmetry is No. 221. The value obtained for the density of states at the Fermi level is 6.39 states/eV/f.u. For the offset from the most stable computed form, the calculation gives 0.0000 eV per atom.

=====

Record 2
Below is a relaxed structure of Hf3ZrTe6, with properties calculated at the PBE-GGA level.

Structure (POSCAR):
```
Hf3ZrTe6
1.0
-4.402 -1.085 -7.064
5.171 -6.358 -1.816
-5.146 -4.963 4.399
Te Hf Zr
12 6 2
direct
0.199 0.574 0.339
0.426 0.661 0.801
0.685 0.054 0.828
0.574 0.339 0.199
0.315 0.946 0.172
0.054 0.828 0.685
0.661 0.801 0.426
0.801 0.426 0.661
0.828 0.685 0.054
0.339 0.199 0.574
0.946 0.172 0.315
0.172 0.315 0.946
0.990 0.840 0.342
0.010 0.160 0.658
0.342 0.990 0.840
0.160 0.658 0.010
0.658 0.010 0.160
0.840 0.342 0.990
0.000 0.000 0.000
0.500 0.500 0.500
```

Output
The calculation puts the electronic total energy at -63.4 eV per formula unit. As for the formation energy without anion corrections: -0.6170 eV/atom. For the total moment, the calculation gives 0.00 μB per formula unit. Its symmetry is No. 148. The value obtained for the density of states at the Fermi level is 4.21 states/eV/f.u.

=====

Record 3
Below is a relaxed structure of BePPtCl2, with properties calculated at the PBE-GGA level.

Structure (POSCAR):
```
BePPtCl2
1.0
-4.053 2.866 0.586
-1.762 -3.191 3.420
2.139 2.351 3.296
P Cl Pt Be
1 2 1 1
direct
0.000 0.000 0.500
0.500 0.000 0.000
0.000 0.500 0.000
0.000 0.000 0.000
0.500 0.500 0.500
```

Output
The calculation puts the electronic total energy at -15.5 eV per formula unit. As for the formation energy without anion corrections: 0.6684 eV/atom. For the total moment, the calculation gives 0.00 μB per formula unit. Its symmetry is No. 123. The value obtained for the density of states at the Fermi level is 3.65 states/eV/f.u. For the offset from the most stable computed form, the calculation gives 0.4217 eV per atom.

=====

Record 4
Below is a relaxed structure of Li3MgIn2, with properties calculated at the PBE-GGA level.

Structure (POSCAR):
```
Li3MgIn2
1.0
-2.721 0.694 -2.014
1.263 -2.106 -2.432
-4.899 -7.567 4.009
In Li Mg
2 3 1
direct
0.500 0.500 0.164
0.500 0.500 0.836
0.000 0.000 0.000
0.000 0.000 0.678
0.000 0.000 0.322
0.500 0.500 0.500
```

Output
The calculation puts the electronic total energy at -14.1 eV per formula unit. The value obtained for the formation energy from the elements is -0.2197 eV per atom. For the total moment, the calculation gives 0.00 μB per formula unit. Its symmetry is No. 123. The value obtained for the density of states at the Fermi level is 2.58 states/eV/f.u. For the offset from the most stable computed form, the calculation gives 0.0000 eV per atom.

=====

Record 5
Below is a relaxed structure of TePBr2, with properties calculated at the PBE-GGA level.

Structure (POSCAR):
```
TePBr2
1.0
7.615 0.121 -0.101
6.856 3.316 -0.101
2.270 0.539 5.310
Br Te P
2 1 1
direct
0.605 0.605 0.395
0.895 0.895 0.105
0.750 0.750 0.750
0.250 0.250 0.250
```

Output
The calculation puts the electronic total energy at -10.6 eV per formula unit. As for the formation energy without anion corrections: 0.3322 eV/atom. For the total moment, the calculation gives 0.00 μB per formula unit. Its symmetry is No. 71. The value obtained for the density of states at the Fermi level is 1.86 states/eV/f.u. For the offset from the most stable computed form, the calculation gives 0.4022 eV per atom.

=====

Record 6
Below is a relaxed structure of La5Pr4Tm2, with properties calculated at the PBE-GGA level.

Structure (POSCAR):
```
La5Pr4Tm2
1.0
3.565 0.000 0.000
0.000 9.719 0.000
-1.783 -4.859 11.707
Pr Tm La
4 2 5
direct
0.000 0.296 0.000
0.000 0.704 0.000
0.596 0.596 0.191
0.404 0.404 0.809
0.270 0.270 0.539
0.730 0.730 0.461
0.154 0.364 0.307
0.846 0.057 0.693
0.154 0.943 0.307
0.846 0.636 0.693
0.500 0.000 0.000
```

Output
The calculation puts the electronic total energy at -50.4 eV per formula unit. The value obtained for the formation energy from the elements is 0.2110 eV per atom. For the total moment, the calculation gives 0.00 μB per formula unit. Its symmetry is No. 71. The value obtained for the density of states at the Fermi level is 16.09 states/eV/f.u. For the offset from the most stable computed form, the calculation gives 0.1442 eV per atom.